No. 1
InSiTe4 after structural relaxation, computed with PBE.

polymorph energy (0 for the lowest one): 627.9 meV per atom
symmetry: No. 216
M_tot: 0.60 Bohr magnetons per cell

Unit cell a=6.368 b=6.368 c=6.368 alpha=60.00 beta=60.00 gamma=60.00
Fractional coordinates of all 6 atoms:
1 In 0.000 0.000 0.000
2 Si 0.750 0.750 0.750
3 Te 0.376 0.376 0.376
4 Te 0.376 0.376 0.873
5 Te 0.376 0.873 0.376
6 Te 0.873 0.376 0.376

No. 2
InSiTe2 after structural relaxation, computed with PBE.

polymorph energy (0 for the lowest one): 413.6 meV per atom
symmetry: No. 12
M_tot: 0.00 Bohr magnetons per cell

Unit cell a=6.134 b=6.134 c=3.353 alpha=100.51 beta=100.51 gamma=118.57
Fractional coordinates of all 4 atoms:
1 In 0.000 0.000 0.000
2 Si 0.500 0.500 0.000
3 Te 0.000 0.500 0.500
4 Te 0.500 0.000 0.500

No. 3
In2SiTe after structural relaxation, computed with PBE.

polymorph energy (0 for the lowest one): 346.3 meV per atom
symmetry: No. 139
M_tot: 0.00 Bohr magnetons per cell

Unit cell a=6.355 b=6.355 c=6.355 alpha=140.18 beta=140.18 gamma=57.58
Fractional coordinates of all 4 atoms:
1 In 0.250 0.750 0.500
2 In 0.750 0.250 0.500
3 Si 0.000 0.000 0.000
4 Te 0.500 0.500 0.000

No. 4
In2SiTe after structural relaxation, computed with PBE.

polymorph energy (0 for the lowest one): 382.4 meV per atom
symmetry: No. 119
M_tot: 0.00 Bohr magnetons per cell

Unit cell a=6.112 b=6.112 c=6.112 alpha=137.45 beta=137.45 gamma=61.75
Fractional coordinates of all 4 atoms:
1 In 0.000 0.000 0.000
2 In 0.750 0.250 0.500
3 Si 0.250 0.750 0.500
4 Te 0.500 0.500 0.000

No. 5
In2Si2Te after structural relaxation, computed with PBE.

polymorph energy (0 for the lowest one): 101.7 meV per atom
symmetry: No. 127
M_tot: 0.00 Bohr magnetons per cell

Unit cell a=7.607 b=7.607 c=4.103 alpha=90.00 beta=90.00 gamma=90.00
Fractional coordinates of all 10 atoms:
1 In 0.187 0.313 0.000
2 In 0.313 0.813 0.000
3 In 0.687 0.187 0.000
4 In 0.813 0.687 0.000
5 Si 0.113 0.613 0.500
6 Si 0.387 0.113 0.500
7 Si 0.613 0.887 0.500
8 Si 0.887 0.387 0.500
9 Te 0.000 0.000 0.500
10 Te 0.500 0.500 0.500

No. 6
InSiTe2 after structural relaxation, computed with PBE.

polymorph energy (0 for the lowest one): 303.5 meV per atom
symmetry: No. 65
M_tot: 0.00 Bohr magnetons per cell

Unit cell a=3.512 b=3.512 c=9.262 alpha=90.00 beta=90.00 gamma=108.73
Fractional coordinates of all 4 atoms:
1 In 0.000 0.000 0.000
2 Si 0.000 0.000 0.500
3 Te 0.500 0.500 0.290
4 Te 0.500 0.500 0.710

No. 7
InSiTe2 after structural relaxation, computed with PBE.

polymorph energy (0 for the lowest one): 152.3 meV per atom
symmetry: No. 44
M_tot: 0.00 Bohr magnetons per cell

Unit cell a=7.811 b=7.811 c=7.811 alpha=151.18 beta=150.37 gamma=41.81
Fractional coordinates of all 4 atoms:
1 In 0.000 0.000 0.000
2 Si 0.752 0.252 0.500
3 Te 0.326 0.826 0.500
4 Te 0.603 0.603 0.000

No. 8
In2SiTe after structural relaxation, computed with PBE.

polymorph energy (0 for the lowest one): 334.8 meV per atom
symmetry: No. 65
M_tot: 0.00 Bohr magnetons per cell

Unit cell a=3.227 b=3.227 c=9.872 alpha=90.00 beta=90.00 gamma=97.21
Fractional coordinates of all 4 atoms:
1 In 0.000 0.000 0.208
2 In 0.000 0.000 0.792
3 Si 0.500 0.500 0.000
4 Te 0.500 0.500 0.500

No. 9
In2Si2Te after structural relaxation, computed with PBE.

polymorph energy (0 for the lowest one): 104.9 meV per atom
symmetry: No. 139
M_tot: 0.00 Bohr magnetons per cell

Unit cell a=6.141 b=6.141 c=6.141 alpha=133.03 beta=133.03 gamma=68.61
Fractional coordinates of all 5 atoms:
1 In 0.250 0.750 0.500
2 In 0.750 0.250 0.500
3 Si 0.115 0.115 0.000
4 Si 0.885 0.885 0.000
5 Te 0.500 0.500 0.000

No. 10
InSi2Te2 after structural relaxation, computed with PBE.

symmetry: No. 139
M_tot: 0.00 Bohr magnetons per cell

Unit cell a=10.551 b=10.551 c=10.551 alpha=160.95 beta=160.95 gamma=27.06
Fractional coordinates of all 5 atoms:
1 In 0.000 0.000 0.000
2 Si 0.250 0.750 0.500
3 Si 0.750 0.250 0.500
4 Te 0.374 0.374 0.000
5 Te 0.626 0.626 0.000

No. 11
InSi3Te after structural relaxation, computed with PBE.

polymorph energy (0 for the lowest one): 0.0 meV per atom
symmetry: No. 221
M_tot: 0.00 Bohr magnetons per cell

Unit cell a=5.144 b=5.144 c=5.144 alpha=90.00 beta=90.00 gamma=90.00
Fractional coordinates of all 5 atoms:
1 In 0.000 0.000 0.000
2 Si 0.000 0.000 0.500
3 Si 0.000 0.500 0.000
4 Si 0.500 0.000 0.000
5 Te 0.500 0.500 0.500

No. 12
In2SiTe after structural relaxation, computed with PBE.

polymorph energy (0 for the lowest one): 240.1 meV per atom
symmetry: No. 8
M_tot: 0.00 Bohr magnetons per cell

Unit cell a=5.912 b=5.912 c=5.868 alpha=115.40 beta=115.40 gamma=35.90
Fractional coordinates of all 4 atoms:
1 In 0.000 0.000 0.000
2 In 0.210 0.210 0.779
3 Si 0.711 0.711 0.375
4 Te 0.393 0.393 0.416

No. 13
In2Si2Te after structural relaxation, computed with PBE.

polymorph energy (0 for the lowest one): 0.0 meV per atom
symmetry: No. 139
M_tot: 0.00 Bohr magnetons per cell

Unit cell a=9.075 b=9.075 c=9.075 alpha=156.58 beta=156.58 gamma=33.36
Fractional coordinates of all 5 atoms:
1 In 0.111 0.111 0.000
2 In 0.889 0.889 0.000
3 Si 0.250 0.750 0.500
4 Si 0.750 0.250 0.500
5 Te 0.500 0.500 0.000

no.,uncorrected energy (eV per atom)
1,-2.868
2,-3.220
3,-3.232
4,-3.196
5,-3.576
6,-3.330
7,-3.481
8,-3.244
9,-3.573
10,-3.749
11,-3.260
12,-3.338
13,-3.678